Entry 1:
VASP calculation (GGA-PBE) on a geometry-optimized Sc2CdO structure.

Calculated values
**Formation energy without anion corrections**: -1.540 eV/atom
**Total energy**: -6.174 eV per atom

a = 6.014 Å, b = 5.964 Å, c = 8.217 Å
α = 90.00°, β = 99.98°, γ = 90.00°
Space group C2/m (No. 12)
Symmetry-distinct sites (fractional):
Sc 0.000 0.248 0.000
Sc 0.180 0.500 0.677
Cd 0.169 0.000 0.663
O 0.230 0.500 0.933

=====

Entry 2:
VASP calculation (GGA-PBE) on a geometry-optimized ZrIn2Hg structure.

Calculated values
**Energy of formation**: -0.094 eV/atom
**Total energy**: -3.676 eV per atom

a = 3.325 Å, b = 5.059 Å, c = 5.558 Å
α = 90.00°, β = 90.00°, γ = 90.00°
Space group Pmm2 (No. 25)
Symmetry-distinct sites (fractional):
Zr 0.000 0.000 0.000
In 0.500 0.000 0.511
In 0.500 0.500 0.144
Hg 0.000 0.500 0.667